The following is a DFT calculation (GGA-PBE) of a relaxed Sb2CIO crystal.

The structure belongs to space group P4/mmm (No. 123); the cell edges are 4.720, 4.720 and 4.854 Å and the angles 90.00°, 90.00° and 90.00°. The asymmetric unit holds Sb at (0.000, 0.500, 0.000), C at (0.000, 0.000, 0.000), I at (0.000, 0.000, 0.500) and O at (0.500, 0.500, 0.500).

The excess energy over the best structure of this formula in the dataset is 0 meV per atom. The value obtained for the formation energy from raw total energies is 129 kJ per mole of atoms. Its magnetic moment is 0.00 μB per atom. The value obtained for the calculated volume is 108.2 Å³/cell.